1.
Below is a relaxed structure of NbNiSbPd, with properties calculated at the PBE level.

Output
Space group: F-43m, No. 216
Total magnetic moment, μB per atom: 0.004

```
NbNiSbPd
1.0
0.000 3.210 3.210
3.210 0.000 3.210
3.210 3.210 0.000
Nb Ni Sb Pd
1 1 1 1
direct
0.000 0.000 0.000
0.500 0.500 0.500
0.250 0.250 0.250
0.750 0.750 0.750
```


2.
Below is a relaxed structure of PrNbNi, with properties calculated at the PBE level.

Output
Space group: F-43m, No. 216
E_form, kJ/mol of formula units: 148
Total magnetic moment, μB per atom: 0.309

```
PrNbNi
1.0
0.000 3.222 3.222
3.222 0.000 3.222
3.222 3.222 0.000
Pr Nb Ni
1 1 1
direct
0.000 0.000 0.000
0.500 0.500 0.500
0.750 0.750 0.750
```


3.
Below is a relaxed structure of NbNiPt2, with properties calculated at the PBE level.

Output
Space group: F-43m, No. 216
E_form, kJ/mol of formula units: -123
Total magnetic moment, μB per atom: 0.001

```
NbNiPt2
1.0
0.000 3.120 3.120
3.120 0.000 3.120
3.120 3.120 0.000
Nb Ni Pt
1 1 2
direct
0.000 0.000 0.000
0.250 0.250 0.250
0.500 0.500 0.500
0.750 0.750 0.750
```


4.
Below is a relaxed structure of Nb2NiPt, with properties calculated at the PBE level.

Output
Space group: F-43m, No. 216
E_form, kJ/mol of formula units: -68
Total magnetic moment, μB per atom: 0.174

```
Nb2NiPt
1.0
0.000 3.147 3.147
3.147 0.000 3.147
3.147 3.147 0.000
Nb Ni Pt
2 1 1
direct
0.000 0.000 0.000
0.250 0.250 0.250
0.750 0.750 0.750
0.500 0.500 0.500
```


5.
Below is a relaxed structure of NbNiPt2, with properties calculated at the PBE level.

Output
Space group: F-43m, No. 216
E_form, kJ/mol of formula units: -123
Total magnetic moment, μB per atom: 0.001

```
NbNiPt2
1.0
0.000 3.118 3.118
3.118 0.000 3.118
3.118 3.118 0.000
Nb Ni Pt
1 1 2
direct
0.000 0.000 0.000
0.250 0.250 0.250
0.500 0.500 0.500
0.750 0.750 0.750
```


6.
Below is a relaxed structure of NbTlNiPt, with properties calculated at the PBE level.

Output
Space group: F-43m, No. 216
Total magnetic moment, μB per atom: 0.001

```
NbTlNiPt
1.0
0.000 3.224 3.224
3.224 0.000 3.224
3.224 3.224 0.000
Nb Tl Ni Pt
1 1 1 1
direct
0.000 0.000 0.000
0.500 0.500 0.500
0.750 0.750 0.750
0.250 0.250 0.250
```


Which E_tot belongs to each record? In order, -6.347, -6.301, -7.262, -8.128, -7.262, -6.022 eV per atom.